# Re2SbOs (PBE, optimized geometry)
# VASP energy: -37.81 eV/f.u.
# formation energy without anion corrections: 58.8 kJ/mol of atoms
data_Re2SbOs
_cell_length_a 3.925
_cell_length_b 3.925
_cell_length_c 8.283
_cell_angle_alpha 90.00
_cell_angle_beta 90.00
_cell_angle_gamma 90.00
_space_group_name_H-M_alt 'I 4/m m m'
_space_group_IT_number 139
_space_group_name_Hall '-I 4 2'
loop_
_atom_site_label
_atom_site_fract_x
_atom_site_fract_y
_atom_site_fract_z
_atom_site_occupancy
Re1 0.000 0.500 0.250 1
Sb1 0.000 0.000 0.000 1
Os1 0.000 0.000 0.500 1

=====

# TbYPa2P4 (PBE, optimized geometry)
# VASP energy: -63.41 eV/f.u.
# energy of formation: -1.4604 eV/atom
data_TbYPa2P4
_cell_length_a 6.903
_cell_length_b 3.990
_cell_length_c 6.909
_cell_angle_alpha 90.00
_cell_angle_beta 109.50
_cell_angle_gamma 90.00
_space_group_name_H-M_alt 'P 1 2/m 1'
_space_group_IT_number 10
_space_group_name_Hall '-P 2y'
loop_
_atom_site_label
_atom_site_fract_x
_atom_site_fract_y
_atom_site_fract_z
_atom_site_occupancy
Tb1 0.000 0.000 0.000 1
Y1 0.000 0.500 0.500 1
Pa1 0.500 0.000 0.500 1
Pa2 0.500 0.500 0.000 1
P1 0.255 0.000 0.751 1
P2 0.255 0.500 0.252 1

=====

# Cs3Hg8Bi3 (PBE, optimized geometry)
# VASP energy: -19.33 eV/f.u.
# energy of formation: -0.1937 eV/atom
data_Cs3Hg8Bi3
_cell_length_a 5.406
_cell_length_b 11.069
_cell_length_c 16.367
_cell_angle_alpha 90.00
_cell_angle_beta 90.00
_cell_angle_gamma 90.00
_space_group_name_H-M_alt 'I m m m'
_space_group_IT_number 71
_space_group_name_Hall '-I 2 2'
loop_
_atom_site_label
_atom_site_fract_x
_atom_site_fract_y
_atom_site_fract_z
_atom_site_occupancy
Cs1 0.000 0.000 0.000 1
Cs2 0.000 0.000 0.295 1
Hg1 0.000 0.286 0.148 1
Hg2 0.000 0.363 0.343 1
Bi1 0.000 0.197 0.500 1
Bi2 0.000 0.500 0.000 1

=====

# Ti2Pb2Cl (PBE, optimized geometry)
# VASP energy: -25.79 eV/f.u.
# formation energy without anion corrections: -14.2 kJ/mol of atoms
data_Ti2Pb2Cl
_cell_length_a 6.597
_cell_length_b 6.597
_cell_length_c 4.911
_cell_angle_alpha 90.00
_cell_angle_beta 90.00
_cell_angle_gamma 90.00
_space_group_name_H-M_alt 'P 4/m b m'
_space_group_IT_number 127
_space_group_name_Hall '-P 4 2ab'
loop_
_atom_site_label
_atom_site_fract_x
_atom_site_fract_y
_atom_site_fract_z
_atom_site_occupancy
Ti1 0.142 0.358 0.000 1
Pb1 0.170 0.670 0.500 1
Cl1 0.000 0.000 0.000 1

=====

# Sr4Ag (PBE, optimized geometry)
# VASP energy: -10.05 eV/f.u.
# energy of formation: -0.0944 eV/atom
data_Sr4Ag
_cell_length_a 14.586
_cell_length_b 15.298
_cell_length_c 8.789
_cell_angle_alpha 90.00
_cell_angle_beta 90.00
_cell_angle_gamma 90.00
_space_group_name_H-M_alt 'F d d 2'
_space_group_IT_number 43
_space_group_name_Hall 'F 2 -2d'
loop_
_atom_site_label
_atom_site_fract_x
_atom_site_fract_y
_atom_site_fract_z
_atom_site_occupancy
Sr1 0.121 0.335 0.000 1
Sr2 0.124 0.331 0.504 1
Ag1 0.000 0.000 0.996 1

=====

# UMnZnOs (PBE, optimized geometry)
# VASP energy: -32.47 eV/f.u.
# energy of formation: 0.1219 eV/atom
data_UMnZnOs
_cell_length_a 6.407
_cell_length_b 6.407
_cell_length_c 6.407
_cell_angle_alpha 90.00
_cell_angle_beta 90.00
_cell_angle_gamma 90.00
_space_group_name_H-M_alt 'F -4 3 m'
_space_group_IT_number 216
_space_group_name_Hall 'F -4 2 3'
loop_
_atom_site_label
_atom_site_fract_x
_atom_site_fract_y
_atom_site_fract_z
_atom_site_occupancy
U1 0.000 0.000 0.000 1
Mn1 0.250 0.250 0.750 1
Zn1 0.000 0.000 0.500 1
Os1 0.250 0.250 0.250 1

=====

# BaLi2SmBi2 (PBE, optimized geometry)
# VASP energy: -22.67 eV/f.u.
# energy of formation: -0.7405 eV/atom
data_BaLi2SmBi2
_cell_length_a 4.9665
_cell_length_b 4.9665
_cell_length_c 8.2554
_cell_angle_alpha 90.00
_cell_angle_beta 90.00
_cell_angle_gamma 120.00
_space_group_name_H-M_alt 'P -3 m 1'
_space_group_IT_number 164
_space_group_name_Hall '-P 3 2"'
loop_
_atom_site_label
_atom_site_fract_x
_atom_site_fract_y
_atom_site_fract_z
_atom_site_occupancy
Ba1 0.0000 0.0000 0.0000 1
Li1 0.3333 0.6667 0.6846 1
Sm1 0.0000 0.0000 0.5000 1
Bi1 0.3333 0.6667 0.2800 1

=====

# TbMnCo4 (PBE, optimized geometry)
# VASP energy: -42.46 eV/f.u.
# energy of formation: -0.0394 eV/atom
data_TbMnCo4
_cell_length_a 4.8810
_cell_length_b 4.8810
_cell_length_c 8.0749
_cell_angle_alpha 90.00
_cell_angle_beta 90.00
_cell_angle_gamma 120.00
_space_group_name_H-M_alt 'P -3 m 1'
_space_group_IT_number 164
_space_group_name_Hall '-P 3 2"'
loop_
_atom_site_label
_atom_site_fract_x
_atom_site_fract_y
_atom_site_fract_z
_atom_site_occupancy
Tb1 0.3333 0.6667 0.4181 1
Mn1 0.3333 0.6667 0.0481 1
Co1 0.0000 0.0000 0.0000 1
Co2 0.0000 0.0000 0.5000 1
Co3 0.1702 0.3405 0.7665 1

=====

# TaReCl (PBE, optimized geometry)
# VASP energy: -23.09 eV/f.u.
# formation energy without anion corrections: 98.3 kJ/mol of atoms
data_TaReCl
_cell_length_a 6.132
_cell_length_b 6.132
_cell_length_c 6.132
_cell_angle_alpha 90.00
_cell_angle_beta 90.00
_cell_angle_gamma 90.00
_space_group_name_H-M_alt 'F -4 3 m'
_space_group_IT_number 216
_space_group_name_Hall 'F -4 2 3'
loop_
_atom_site_label
_atom_site_fract_x
_atom_site_fract_y
_atom_site_fract_z
_atom_site_occupancy
Ta1 0.000 0.000 0.000 1
Re1 0.250 0.250 0.250 1
Cl1 0.000 0.000 0.500 1

=====

# Y2Tl2Ru (PBE, optimized geometry)
# VASP energy: -27.09 eV/f.u.
# energy of formation: -0.0304 eV/atom
data_Y2Tl2Ru
_cell_length_a 7.497
_cell_length_b 7.497
_cell_length_c 4.393
_cell_angle_alpha 90.00
_cell_angle_beta 90.00
_cell_angle_gamma 90.00
_space_group_name_H-M_alt 'P 4/m b m'
_space_group_IT_number 127
_space_group_name_Hall '-P 4 2ab'
loop_
_atom_site_label
_atom_site_fract_x
_atom_site_fract_y
_atom_site_fract_z
_atom_site_occupancy
Y1 0.172 0.328 0.000 1
Tl1 0.140 0.640 0.500 1
Ru1 0.000 0.000 0.500 1

=====

# Pu2Si3Ru (PBE, optimized geometry)
# VASP energy: -57.16 eV/f.u.
# formation energy without anion corrections: -47.5 kJ/mol of atoms
data_Pu2Si3Ru
_cell_length_a 7.761
_cell_length_b 8.289
_cell_length_c 14.122
_cell_angle_alpha 90.00
_cell_angle_beta 90.00
_cell_angle_gamma 90.00
_space_group_name_H-M_alt 'F m m m'
_space_group_IT_number 69
_space_group_name_Hall '-F 2 2'
loop_
_atom_site_label
_atom_site_fract_x
_atom_site_fract_y
_atom_site_fract_z
_atom_site_occupancy
Pu1 0.240 0.000 0.000 1
Pu2 0.250 0.250 0.250 1
Si1 0.000 0.000 0.333 1
Si2 0.000 0.244 0.417 1
Ru1 0.000 0.000 0.162 1

=====

# SrPm2Ho (PBE, optimized geometry)
# VASP energy: -15.24 eV/f.u.
# energy of formation: 0.1293 eV/atom
data_SrPm2Ho
_cell_length_a 4.094
_cell_length_b 4.094
_cell_length_c 9.164
_cell_angle_alpha 90.00
_cell_angle_beta 90.00
_cell_angle_gamma 90.00
_space_group_name_H-M_alt 'P 4/m m m'
_space_group_IT_number 123
_space_group_name_Hall '-P 4 2'
loop_
_atom_site_label
_atom_site_fract_x
_atom_site_fract_y
_atom_site_fract_z
_atom_site_occupancy
Sr1 0.000 0.000 0.000 1
Pm1 0.500 0.500 0.294 1
Ho1 0.000 0.000 0.500 1

=====

The records above give, respectively, N(E_F) values of 9.19; 6.80; 10.60; 10.50; 31.98; 24.36; 3.36; 14.75; 7.73; 10.59; 142.25; 5.35 states/eV per cell.